First-principles (PBE+U) data for a relaxed structure of MnAgO3, as listed in Alexandria.

Computed properties:
- E_tot (eV per atom) = -5.64
- symmetry = Cmcm (63)
- total magnetization (μB per formula unit) = 2.00

Lattice parameters (Å, degrees): 3.054 5.129 7.418 90.00 101.88 90.00
Site moments in Bohr magnetons follow the coordinates.
Positions (direct):
Mn: 0.689 0.250 0.378  3.53
O: 0.183 0.003 0.366  -0.36
O: 0.441 0.750 0.883  -0.47
O: 0.183 0.497 0.366  -0.36
Ag: 0.054 0.750 0.108  -0.28
Ag: 0.946 0.250 0.892  -0.28
O: 0.817 0.503 0.634  -0.36
Mn: 0.311 0.750 0.622  3.53
O: 0.817 0.997 0.634  -0.36
O: 0.559 0.250 0.117  -0.47